No. 1
Here is NaNdGdGa after structural relaxation from the Alexandria database. Energies are from GGA-PBE.

Summary:
The value obtained for the calculated formation energy is -0.147 eV/atom.

Lattice parameters (Å, degrees): 7.5394 7.5394 7.5394 90.00 90.00 90.00
Space group F-43m (No. 216)
Inequivalent atoms, fractional coordinates:
1 Na 0.0000 0.0000 0.0000
2 Nd 0.2500 0.2500 0.7500
3 Gd 0.2500 0.2500 0.2500
4 Ga 0.0000 0.0000 0.5000

***

No. 2
Here is Sr2MgRuO5 after structural relaxation from the Alexandria database. Energies are from GGA-PBE.

Summary:
The value obtained for the uncorrected formation energy is -2.12 eV/atom.

Lattice parameters (Å, degrees): 3.3713 13.9234 10.2658 90.00 90.00 90.00
Space group Cmc2_1 (No. 36)
Inequivalent atoms, fractional coordinates:
1 Sr 0.0000 0.1188 0.0000
2 Sr 0.0000 0.1289 0.5627
3 Mg 0.0000 0.4817 0.7569
4 Ru 0.0000 0.2229 0.2899
5 O 0.0000 0.0780 0.3081
6 O 0.0000 0.2819 0.9127
7 O 0.0000 0.2908 0.6670
8 O 0.0000 0.3662 0.2902
9 O 0.0000 0.5003 0.0657